Entry 1:
The following is a DFT calculation (PBE) of a relaxed structure of YNiN2.

Unit cell a=5.884 b=5.884 c=5.884 alpha=36.55 beta=36.55 gamma=36.55
Positions (direct):
1 Y 0.000 0.000 0.000
2 Ni 0.500 0.500 0.500
3 N 0.396 0.396 0.396
4 N 0.604 0.604 0.604

Results
As for the electronic total energy: -29.89 eV per formula unit. The value obtained for the spin magnetization is 0.23 μB per atom. The energy above the most stable polymorph in this dataset comes out at 0.0664 eV/atom. The density of states at the Fermi level is 2.9 states/eV/f.u. As for the uncorrected formation energy: -0.2478 eV/atom.

---

Entry 2:
The following is a DFT calculation (PBE) of a relaxed structure of Ac2Pr2DyY.

Unit cell a=7.377 b=5.930 c=10.239 alpha=90.00 beta=90.00 gamma=90.00
Positions (direct):
1 Ac 0.000 0.000 0.000
2 Ac 0.250 0.500 0.175
3 Ac 0.500 0.000 0.000
4 Ac 0.750 0.500 0.825
5 Pr 0.250 0.000 0.346
6 Pr 0.250 0.500 0.824
7 Pr 0.750 0.000 0.654
8 Pr 0.750 0.500 0.176
9 Dy 0.250 0.000 0.662
10 Dy 0.750 0.000 0.338
11 Y 0.000 0.500 0.500
12 Y 0.500 0.500 0.500

Results
As for the electronic total energy: -28.38 eV per formula unit. The value obtained for the spin magnetization is 0.00 μB per atom. As for the formation energy from the elements: 0.077 eV per atom. The density of states at the Fermi level is 10.2 states/eV/f.u.

---

Entry 3:
The following is a DFT calculation (PBE) of a relaxed structure of PmPrSm2Sb4.

Unit cell a=7.790 b=4.501 c=7.791 alpha=90.00 beta=109.47 gamma=90.00
Positions (direct):
1 Pm 0.000 0.000 0.000
2 Pr 0.500 0.500 0.000
3 Sm 0.000 0.500 0.500
4 Sm 0.500 0.000 0.500
5 Sb 0.247 0.000 0.746
6 Sb 0.249 0.500 0.253
7 Sb 0.751 0.500 0.747
8 Sb 0.753 0.000 0.254

Results
As for the electronic total energy: -44.92 eV per formula unit. The value obtained for the spin magnetization is 0.00 μB per atom. The density of states at the Fermi level is 1.0 states/eV/f.u. As for the uncorrected formation energy: -1.1825 eV/atom.

---

Entry 4:
The following is a DFT calculation (PBE) of a relaxed structure of Sr3La2Ga2Pt4.

Unit cell a=4.360 b=4.360 c=18.917 alpha=90.00 beta=90.00 gamma=120.00
Positions (direct):
1 Sr 0.000 0.000 0.000
2 Sr 0.000 0.000 0.237
3 Sr 0.000 0.000 0.763
4 La 0.333 0.667 0.586
5 La 0.667 0.333 0.414
6 Ga 0.333 0.667 0.119
7 Ga 0.667 0.333 0.881
8 Pt 0.333 0.667 0.341
9 Pt 0.333 0.667 0.882
10 Pt 0.667 0.333 0.118
11 Pt 0.667 0.333 0.659

Results
As for the electronic total energy: -54.18 eV per formula unit. The value obtained for the spin magnetization is 0.00 μB per atom. As for the formation energy from the elements: -0.824 eV per atom. The density of states at the Fermi level is 8.2 states/eV/f.u.

---

Entry 5:
The following is a DFT calculation (PBE) of a relaxed structure of Tb2SmPu3Se6.

Unit cell a=9.257 b=9.257 c=8.291 alpha=103.45 beta=103.45 gamma=25.70
Positions (direct):
1 Tb 0.166 0.166 0.333
2 Tb 0.834 0.834 0.667
3 Sm 0.500 0.500 0.000
4 Pu 0.166 0.166 0.833
5 Pu 0.500 0.500 0.500
6 Pu 0.834 0.834 0.167
7 Se 0.001 0.001 0.253
8 Se 0.332 0.332 0.419
9 Se 0.332 0.332 0.914
10 Se 0.668 0.668 0.086
11 Se 0.668 0.668 0.581
12 Se 0.999 0.999 0.747

Results
As for the electronic total energy: -98.10 eV per formula unit. The value obtained for the spin magnetization is 1.46 μB per atom. The density of states at the Fermi level is 26.9 states/eV/f.u. As for the uncorrected formation energy: -1.6850 eV/atom.

---

Entry 6:
The following is a DFT calculation (PBE) of a relaxed structure of ErHf2Pd8.

Unit cell a=7.535 b=7.535 c=6.659 alpha=107.28 beta=107.28 gamma=31.56
Positions (direct):
1 Er 0.000 0.000 0.000
2 Hf 0.279 0.279 0.333
3 Hf 0.721 0.721 0.667
4 Pd 0.101 0.101 0.458
5 Pd 0.181 0.181 0.911
6 Pd 0.354 0.354 0.800
7 Pd 0.458 0.458 0.282
8 Pd 0.542 0.542 0.718
9 Pd 0.646 0.646 0.200
10 Pd 0.819 0.819 0.089
11 Pd 0.899 0.899 0.542

Results
As for the electronic total energy: -74.53 eV per formula unit. The value obtained for the spin magnetization is 0.00 μB per atom. As for the formation energy from the elements: -0.774 eV per atom. The density of states at the Fermi level is 5.3 states/eV/f.u.

---

Entry 7:
The following is a DFT calculation (PBE) of a relaxed structure of Ca6NiAg2.

Unit cell a=6.871 b=8.034 c=12.162 alpha=90.00 beta=123.09 gamma=90.00
Positions (direct):
1 Ca 0.096 0.188 0.442
2 Ca 0.096 0.312 0.942
3 Ca 0.279 0.671 0.441
4 Ca 0.279 0.829 0.941
5 Ca 0.383 0.032 0.251
6 Ca 0.383 0.468 0.751
7 Ca 0.617 0.532 0.249
8 Ca 0.617 0.968 0.749
9 Ca 0.721 0.171 0.059
10 Ca 0.721 0.329 0.559
11 Ca 0.904 0.688 0.058
12 Ca 0.904 0.812 0.558
13 Ni 0.000 0.000 0.000
14 Ni 0.000 0.500 0.500
15 Ag 0.184 0.116 0.742
16 Ag 0.184 0.384 0.242
17 Ag 0.816 0.616 0.758
18 Ag 0.816 0.884 0.258

Results
As for the electronic total energy: -25.10 eV per formula unit. The value obtained for the spin magnetization is 0.00 μB per atom. As for the formation energy from the elements: -0.179 eV per atom. The density of states at the Fermi level is 5.4 states/eV/f.u.

---

Entry 8:
The following is a DFT calculation (PBE) of a relaxed structure of Y3ThSc5.

Unit cell a=9.312 b=9.312 c=3.380 alpha=90.00 beta=90.00 gamma=120.00
Positions (direct):
1 Y 0.000 0.366 0.000
2 Y 0.366 0.000 0.000
3 Y 0.634 0.634 0.000
4 Th 0.000 0.000 0.000
5 Sc 0.000 0.688 0.500
6 Sc 0.312 0.312 0.500
7 Sc 0.333 0.667 0.500
8 Sc 0.667 0.333 0.500
9 Sc 0.688 0.000 0.500

Results
As for the electronic total energy: -57.79 eV per formula unit. The value obtained for the spin magnetization is 0.00 μB per atom. As for the formation energy from the elements: 0.075 eV per atom. The density of states at the Fermi level is 18.3 states/eV/f.u.

---

Entry 9:
The following is a DFT calculation (PBE) of a relaxed structure of Nd4SmY2Er2.

Unit cell a=8.083 b=8.083 c=8.072 alpha=107.35 beta=107.35 gamma=36.79
Positions (direct):
1 Nd 0.055 0.055 0.330
2 Nd 0.278 0.278 0.669
3 Nd 0.722 0.722 0.331
4 Nd 0.945 0.945 0.670
5 Sm 0.500 0.500 0.000
6 Y 0.388 0.388 0.331
7 Y 0.612 0.612 0.669
8 Er 0.168 0.168 0.000
9 Er 0.832 0.832 0.000

Results
As for the electronic total energy: -45.68 eV per formula unit. The value obtained for the spin magnetization is 0.00 μB per atom. As for the formation energy from the elements: 0.019 eV per atom. The density of states at the Fermi level is 13.2 states/eV/f.u.

---

Entry 10:
The following is a DFT calculation (PBE) of a relaxed structure of Rb2LiThS4.

Unit cell a=8.878 b=8.878 c=8.878 alpha=124.97 beta=119.88 gamma=85.92
Positions (direct):
1 Rb 0.000 0.000 0.000
2 Rb 0.500 0.000 0.000
3 Rb 0.500 0.000 0.500
4 Rb 0.500 0.500 0.500
5 Li 0.000 0.500 0.500
6 Li 0.500 0.500 0.000
7 Th 0.000 0.000 0.500
8 Th 0.000 0.500 0.000
9 S 0.200 0.240 0.960
10 S 0.218 0.290 0.572
11 S 0.218 0.645 0.928
12 S 0.219 0.760 0.460
13 S 0.781 0.240 0.540
14 S 0.782 0.355 0.072
15 S 0.782 0.710 0.428
16 S 0.800 0.760 0.040

Results
As for the electronic total energy: -38.45 eV per formula unit. The value obtained for the spin magnetization is 0.13 μB per atom. As for the uncorrected formation energy: -1.3334 eV/atom.

---

Entry 11:
The following is a DFT calculation (PBE) of a relaxed structure of Pm6Tl2Zn.

Unit cell a=9.047 b=9.047 c=3.817 alpha=90.00 beta=90.00 gamma=120.00
Positions (direct):
1 Pm 0.000 0.395 0.000
2 Pm 0.000 0.736 0.500
3 Pm 0.264 0.264 0.500
4 Pm 0.395 0.000 0.000
5 Pm 0.605 0.605 0.000
6 Pm 0.736 0.000 0.500
7 Tl 0.333 0.667 0.500
8 Tl 0.667 0.333 0.500
9 Zn 0.000 0.000 0.000

Results
As for the electronic total energy: -36.63 eV per formula unit. The value obtained for the spin magnetization is 0.00 μB per atom. The energy above the most stable polymorph in this dataset comes out at 0.0000 eV/atom. As for the formation energy from the elements: -0.235 eV per atom. The density of states at the Fermi level is 11.4 states/eV/f.u.

---

Entry 12:
The following is a DFT calculation (PBE) of a relaxed structure of CsPaGa2I8.

Unit cell a=8.107 b=8.560 c=10.194 alpha=67.37 beta=83.78 gamma=77.37
Positions (direct):
1 Cs 0.000 0.000 0.000
2 Pa 0.000 0.500 0.500
3 Ga 0.474 0.419 0.221
4 Ga 0.526 0.581 0.779
5 I 0.051 0.473 0.213
6 I 0.248 0.176 0.615
7 I 0.271 0.700 0.428
8 I 0.477 0.759 0.990
9 I 0.523 0.241 0.010
10 I 0.729 0.300 0.572
11 I 0.752 0.824 0.385
12 I 0.949 0.527 0.787

Results
As for the electronic total energy: -38.80 eV per formula unit. The value obtained for the spin magnetization is 0.00 μB per atom. As for the uncorrected formation energy: -0.8332 eV/atom.

---

Look up the spin magnetization of the first one. 0.23 μB per atom

---

electronic total energy of number 3 (PmPrSm2Sb4)? -44.92 eV per formula unit

---

Which value of spin magnetization does entry 1 give? 0.23 μB per atom

---

What did the eighth record say?
The following is a DFT calculation (PBE) of a relaxed structure of Y3ThSc5.

Unit cell a=9.312 b=9.312 c=3.380 alpha=90.00 beta=90.00 gamma=120.00
Positions (direct):
1 Y 0.000 0.366 0.000
2 Y 0.366 0.000 0.000
3 Y 0.634 0.634 0.000
4 Th 0.000 0.000 0.000
5 Sc 0.000 0.688 0.500
6 Sc 0.312 0.312 0.500
7 Sc 0.333 0.667 0.500
8 Sc 0.667 0.333 0.500
9 Sc 0.688 0.000 0.500

Results
As for the electronic total energy: -57.79 eV per formula unit. The value obtained for the spin magnetization is 0.00 μB per atom. As for the formation energy from the elements: 0.075 eV per atom. The density of states at the Fermi level is 18.3 states/eV/f.u.